A plane-wave DFT calculation with PBE-GGA was carried out for a relaxed CrFeSb crystal.

Summary:
ΔE_f (raw)	0.980	eV/f.u.
VASP energy	-21.2	eV per formula unit
theoretical density	8.12	g cm⁻³

Structure (CIF):
```
data_CrFeSb
_chemical_formula_sum 'Cr2 Fe2 Sb2'
_cell_length_a 3.378
_cell_length_b 3.378
_cell_length_c 8.229
_cell_angle_alpha 90.00
_cell_angle_beta 90.00
_cell_angle_gamma 90.00
_symmetry_space_group_name_H-M 'I 4 m m'
_symmetry_Int_Tables_number 107
_symmetry_space_group_name_Hall 'I 4 -2'
loop_
_atom_site_label
_atom_site_type_symbol
_atom_site_fract_x
_atom_site_fract_y
_atom_site_fract_z
Cr1 Cr 0.000 0.000 0.000
Fe1 Fe 0.000 0.000 0.339
Sb1 Sb 0.000 0.000 0.672
```